# PaMnMo2C4 | the Alexandria database | PBE | optimized geometry
# ΔH_f (0 K) = -0.0908 eV per atom
data_PaMnMo2C4
_cell_length_a 5.6579
_cell_length_b 5.6579
_cell_length_c 10.5348
_cell_angle_alpha 90.00
_cell_angle_beta 90.00
_cell_angle_gamma 146.87
_space_group_name_H-M_alt 'P 1'
_space_group_IT_number 1
_space_group_name_Hall 'P 1'
loop_
_atom_site_label
_atom_site_type_symbol
_atom_site_fract_x
_atom_site_fract_y
_atom_site_fract_z
_atom_site_occupancy
Pa1 Pa 0.1004 0.8996 0.7500 1
Pa2 Pa 0.8996 0.1004 0.2500 1
Mn1 Mn 0.1593 0.8407 0.2500 1
Mn2 Mn 0.8407 0.1593 0.7500 1
Mo1 Mo 0.3740 0.6260 0.5427 1
Mo2 Mo 0.3740 0.6260 0.9573 1
Mo3 Mo 0.6260 0.3740 0.0427 1
Mo4 Mo 0.6260 0.3740 0.4573 1
C1 C 0.0000 0.0000 0.0000 1
C2 C 0.0000 0.0000 0.5000 1
C3 C 0.2691 0.7309 0.1179 1
C4 C 0.2691 0.7309 0.3821 1
C5 C 0.4329 0.5671 0.7500 1
C6 C 0.5671 0.4329 0.2500 1
C7 C 0.7309 0.2691 0.6179 1
C8 C 0.7309 0.2691 0.8821 1